{
  "formula": "LaPr5Tl2",
  "functional": "GGA-PBE",
  "state": "optimized geometry",
  "cell": [[-0.495, 2.470, 2.846], [-7.335, -2.836, 3.724], [3.216, -4.313, 6.840]],
  "species": ["La", "Pr", "Pr", "Pr", "Pr", "Pr", "Tl", "Tl"],
  "fractional_positions": [[0.000, 0.000, 0.000], [0.000, 0.500, 0.500], [0.639, 0.583, 0.139], [0.361, 0.417, 0.861], [0.361, 0.861, 0.417], [0.639, 0.139, 0.583], [0.730, 0.770, 0.770], [0.270, 0.230, 0.230]],
  "dos_at_fermi_per_ev_atom": 1.3375,
  "formation_energy_ev_per_fu": -1.14,
  "magmom_total_mub_per_atom": 0.000,
  "dft_energy_ev_per_cell": -34.696
}



{
  "formula": "Al4Cr5",
  "functional": "GGA-PBE",
  "state": "optimized geometry",
  "cell": [[7.488, 0.000, 0.000], [-3.744, 6.485, 0.000], [0.000, 0.000, 4.998]],
  "species": ["Cr", "Cr", "Cr", "Cr", "Cr", "Cr", "Cr", "Cr", "Cr", "Cr", "Al", "Al", "Al", "Al", "Al", "Al", "Al", "Al"],
  "fractional_positions": [[0.000, 0.704, 0.250], [0.296, 0.296, 0.250], [0.704, 0.000, 0.250], [0.000, 0.296, 0.750], [0.704, 0.704, 0.750], [0.296, 0.000, 0.750], [0.667, 0.333, 0.000], [0.333, 0.667, 0.500], [0.333, 0.667, 0.000], [0.667, 0.333, 0.500], [0.000, 0.000, 0.000], [0.000, 0.000, 0.500], [0.000, 0.375, 0.250], [0.625, 0.625, 0.250], [0.375, 0.000, 0.250], [0.000, 0.625, 0.750], [0.375, 0.375, 0.750], [0.625, 0.000, 0.750]],
  "dos_at_fermi_per_ev_atom": 0.8111,
  "formation_energy_ev_per_fu": 0.61,
  "magmom_total_mub_per_atom": 0.607,
  "dft_energy_ev_per_cell": -124.963
}



{
  "formula": "BaZr2Mo",
  "functional": "GGA-PBE",
  "state": "optimized geometry",
  "cell": [[-1.358, -2.462, -2.214], [4.697, -1.651, -1.044], [-0.303, -3.302, 3.858]],
  "species": ["Ba", "Mo", "Zr", "Zr"],
  "fractional_positions": [[0.500, 0.500, 0.000], [0.500, 0.000, 0.500], [0.000, 0.000, 0.000], [0.000, 0.500, 0.500]],
  "dos_at_fermi_per_ev_atom": 1.7797,
  "formation_energy_ev_per_fu": 3.55,
  "magmom_total_mub_per_atom": 0.000,
  "dft_energy_ev_per_cell": -26.297
}



{
  "formula": "TaMnBe2",
  "functional": "GGA-PBE",
  "state": "optimized geometry",
  "cell": [[-0.340, 1.367, -3.775], [-1.246, -1.657, -3.455], [-4.025, 1.119, -0.817]],
  "species": ["Be", "Be", "Mn", "Ta"],
  "fractional_positions": [[0.019, 0.019, 0.902], [0.481, 0.481, 0.598], [0.750, 0.750, 0.750], [0.250, 0.250, 0.250]],
  "dos_at_fermi_per_ev_atom": 0.3322,
  "formation_energy_ev_per_fu": 0.01,
  "magmom_total_mub_per_atom": 0.000,
  "dft_energy_ev_per_cell": -28.464
}



{
  "formula": "MnHg2Os",
  "functional": "GGA-PBE",
  "state": "optimized geometry",
  "cell": [[-1.059, -2.812, 2.800], [3.383, 0.876, 2.159], [-2.093, 2.887, 2.107]],
  "species": ["Hg", "Hg", "Mn", "Os"],
  "fractional_positions": [[0.000, 0.000, 0.000], [0.500, 0.500, 0.000], [0.500, 0.000, 0.500], [0.000, 0.500, 0.500]],
  "dos_at_fermi_per_ev_atom": 0.4815,
  "formation_energy_ev_per_fu": 2.55,
  "magmom_total_mub_per_atom": 1.138,
  "dft_energy_ev_per_cell": -18.455
}



{
  "formula": "SmDy5Tm7",
  "functional": "GGA-PBE",
  "state": "optimized geometry",
  "cell": [[-5.204, 4.038, 0.976], [-4.718, 1.124, -7.094], [-7.159, -4.250, 2.130]],
  "species": ["Sm", "Dy", "Dy", "Dy", "Dy", "Dy", "Tm", "Tm", "Tm", "Tm", "Tm", "Tm", "Tm"],
  "fractional_positions": [[0.967, 0.033, 0.033], [0.536, 0.005, 0.460], [0.999, 0.005, 0.460], [0.536, 0.460, 0.005], [0.999, 0.460, 0.005], [0.771, 0.729, 0.729], [0.577, 0.423, 0.423], [0.272, 0.728, 0.728], [0.020, 0.311, 0.649], [0.020, 0.649, 0.311], [0.268, 0.232, 0.232], [0.518, 0.813, 0.152], [0.518, 0.152, 0.813]],
  "dos_at_fermi_per_ev_atom": 1.7700,
  "formation_energy_ev_per_fu": 3.35,
  "magmom_total_mub_per_atom": 0.000,
  "dft_energy_ev_per_cell": -55.680
}



Copy entry 3 word for word.
{
  "formula": "BaZr2Mo",
  "functional": "GGA-PBE",
  "state": "optimized geometry",
  "cell": [[-1.358, -2.462, -2.214], [4.697, -1.651, -1.044], [-0.303, -3.302, 3.858]],
  "species": ["Ba", "Mo", "Zr", "Zr"],
  "fractional_positions": [[0.500, 0.500, 0.000], [0.500, 0.000, 0.500], [0.000, 0.000, 0.000], [0.000, 0.500, 0.500]],
  "dos_at_fermi_per_ev_atom": 1.7797,
  "formation_energy_ev_per_fu": 3.55,
  "magmom_total_mub_per_atom": 0.000,
  "dft_energy_ev_per_cell": -26.297
}